Record 1
SrTa2Se | PBE | optimized geometry

Unit cell a=9.822 b=9.822 c=9.822 alpha=18.97 beta=18.97 gamma=18.97
Fractional coordinates of all 4 atoms:
1 Se 0.250 0.250 0.250
2 Sr 0.750 0.750 0.750
3 Ta 0.984 0.984 0.984
4 Ta 0.516 0.516 0.516

Values from the calculation:
uncorrected formation energy	495	meV/atom
D(E_F)	5.51	states/eV/f.u.
E	-26.89	eV per formula unit



Record 2
Ti2TeHC | PBE | optimized geometry

Unit cell a=5.112 b=5.112 c=3.544 alpha=90.00 beta=90.00 gamma=90.00
Site moments in Bohr magnetons follow the coordinates.
Fractional coordinates of all 5 atoms:
1 H 0.000 0.000 0.500  0.04
2 C 0.500 0.500 0.500  -0.23
3 Te 0.000 0.000 0.000  -0.03
4 Ti 0.000 0.500 0.000  1.31
5 Ti 0.500 0.000 0.000  1.31

Values from the calculation:
D(E_F)	2.89	states/eV/f.u.
E	-23.70	eV per formula unit



Q: Which value of E does entry 2 give?
A: -23.70 eV per formula unit



Q: Which of these has the highest E?
A: Ti2TeHC



Q: Among the records above, which one has the highest D(E_F)?
A: SrTa2Se



Q: Which formula does entry 2 have?
A: Ti2TeHC